NbFeSnO2 after structural relaxation, computed with PBE with a Hubbard U.

Cell: 3.893 3.893 5.432 Å, 90.00 90.00 90.00°
Element x y z (fractional)
Nb 0.000 0.000 0.000
Fe 0.500 0.500 0.500
Sn 0.500 0.500 0.000
O 0.000 0.500 0.500
O 0.500 0.000 0.500

* density: 6.0 g cm⁻³
* size of the total moment: 1.007 μB per atom
* raw total energy: -5.887 eV per atom
* SG: No. 123